La3SmFe4O12, optimized geometry, DFT PBE+U; raw total energy = -7.432 eV per atom; calculated volume = 12.2 Å³ per atom; mass density = 6.70 g/cm3; space group = No. 6; N(E_F) = 1.1 states/eV/cell
1.0
7.792 0.000 0.000
0.000 5.515 -0.003
0.000 0.011 5.664
La Sm Fe O
3 1 4 12
Direct
0.000 0.987 0.052
0.500 0.488 0.451
0.500 0.013 0.948
0.000 0.515 0.561
0.751 0.499 0.001
0.248 0.001 0.500
0.249 0.499 0.001
0.752 0.001 0.500
0.794 0.785 0.788
0.203 0.707 0.299
0.291 0.208 0.205
0.711 0.290 0.706
0.709 0.208 0.205
0.289 0.290 0.706
0.206 0.785 0.788
0.797 0.707 0.299
0.000 0.422 0.978
0.000 0.094 0.488
0.500 0.579 0.014
0.500 0.923 0.511